DFT (PBE) results for InSn3Pb6 after structural relaxation.

Results
SG: P2_1/m, No. 11
Energy above the lowest structure with this stoichiometry: 0 meV/atom
Formation energy: 30 kJ/mol of formula units

a = 10.6338 Å, b = 5.2950 Å, c = 10.6873 Å
α = 90.00°, β = 90.53°, γ = 90.00°
Fractional positions:
In1 0.1508 0.2500 0.2032
In2 0.8492 0.7500 0.7968
Sn1 0.2517 0.7500 0.0010
Sn2 0.2587 0.2500 0.4932
Sn3 0.4507 0.7500 0.5977
Sn4 0.5493 0.2500 0.4023
Sn5 0.7413 0.7500 0.5068
Sn6 0.7483 0.2500 0.9990
Pb1 0.0439 0.7500 0.4026
Pb2 0.0493 0.2500 0.9068
Pb3 0.1528 0.7500 0.7043
Pb4 0.3466 0.7500 0.3047
Pb5 0.3495 0.2500 0.7933
Pb6 0.4466 0.2500 0.1005
Pb7 0.5534 0.7500 0.8995
Pb8 0.6505 0.7500 0.2067
Pb9 0.6534 0.2500 0.6953
Pb10 0.8472 0.2500 0.2957
Pb11 0.9507 0.7500 0.0932
Pb12 0.9561 0.2500 0.5974

DFT (PBE) results for VAg2Cl6 after structural relaxation.

Results
SG: P2_1/c, No. 14
Energy above the lowest structure with this stoichiometry: 0 meV/atom
ΔE_f (raw): -800 meV/atom

a = 6.8692 Å, b = 6.3964 Å, c = 12.0667 Å
α = 90.00°, β = 121.79°, γ = 90.00°
Fractional positions:
V1 0.0000 0.0000 0.0000
V2 0.0000 0.5000 0.5000
Ag1 0.3095 0.0009 0.7857
Ag2 0.3095 0.4991 0.2857
Ag3 0.6905 0.5009 0.7143
Ag4 0.6905 0.9991 0.2143
Cl1 0.0362 0.2039 0.4057
Cl2 0.0362 0.2961 0.9057
Cl3 0.2666 0.6715 0.4668
Cl4 0.2666 0.8285 0.9668
Cl5 0.3049 0.1171 0.2064
Cl6 0.3049 0.3829 0.7064
Cl7 0.6951 0.6171 0.2936
Cl8 0.6951 0.8829 0.7936
Cl9 0.7334 0.1715 0.0332
Cl10 0.7334 0.3285 0.5332
Cl11 0.9638 0.7039 0.0943
Cl12 0.9638 0.7961 0.5943

DFT (PBE) results for ErCdSnPd after structural relaxation.

Results
SG: F-43m, No. 216
Formation energy: -197 kJ/mol of formula units

a = 4.9462 Å, b = 4.9462 Å, c = 4.9462 Å
α = 60.00°, β = 60.00°, γ = 60.00°
Fractional positions:
Er1 0.0000 0.0000 0.0000
Cd1 0.2500 0.2500 0.2500
Sn1 0.5000 0.5000 0.5000
Pd1 0.7500 0.7500 0.7500

DFT (PBE) results for Hf3ScOs after structural relaxation.

Results
SG: Pm-3m, No. 221
Energy above the lowest structure with this stoichiometry: 1749 meV/atom
Formation energy: 804 kJ/mol of formula units

a = 4.7757 Å, b = 4.7757 Å, c = 4.7757 Å
α = 90.00°, β = 90.00°, γ = 90.00°
Fractional positions:
Hf1 0.0000 0.0000 0.5000
Hf2 0.0000 0.5000 0.0000
Hf3 0.5000 0.0000 0.0000
Sc1 0.0000 0.0000 0.0000
Os1 0.5000 0.5000 0.5000

DFT (PBE) results for Rb2Se2S after structural relaxation.

Results
SG: C2/m, No. 12
Energy above the lowest structure with this stoichiometry: 55 meV/atom
ΔE_f (raw): -640 meV/atom

a = 7.2576 Å, b = 7.2576 Å, c = 5.1219 Å
α = 100.64°, β = 100.64°, γ = 36.99°
Fractional positions:
Rb1 0.1214 0.1214 0.4306
Rb2 0.8786 0.8786 0.5694
Se1 0.3091 0.3091 0.0156
Se2 0.6909 0.6909 0.9844
S1 0.5000 0.5000 0.0000

DFT (PBE) results for KSr2Ge after structural relaxation.

Results
SG: I-42d, No. 122
Formation energy: -23 kJ/mol of formula units

a = 8.0662 Å, b = 8.0662 Å, c = 8.0662 Å
α = 102.51°, β = 102.51°, γ = 124.53°
Fractional positions:
K1 0.0000 0.0000 0.0000
K2 0.7500 0.2500 0.5000
Sr1 0.2265 0.1250 0.6015
Sr2 0.3750 0.7735 0.8985
Sr3 0.5235 0.6250 0.3985
Sr4 0.8750 0.4765 0.1015
Ge1 0.2500 0.7500 0.5000
Ge2 0.5000 0.5000 0.0000